# 1
Entry from Alexandria via LeMat-Bulk: a relaxed LiZn2Ge crystal (PBE).

```
LiZn2Ge
1.0
3.958 0.000 0.000
0.000 3.958 0.000
0.000 0.000 3.938
Li Zn Ge
1 2 1
Direct
0.000 0.000 0.000 Li
0.000 0.500 0.500 Zn
0.500 0.000 0.500 Zn
0.500 0.500 0.000 Ge
```

Summary:
crystal system: tetragonal
formation enthalpy at 0 K: -120 meV per atom

***

# 2
Entry from Alexandria via LeMat-Bulk: a relaxed Dy4Zn5Si6 crystal (PBE).

```
Dy4Zn5Si6
1.0
2.089 -9.141 0.000
2.089 9.141 0.000
0.000 0.000 15.126
Dy Zn Si
8 10 12
Direct
0.018 0.982 0.500 Dy
0.033 0.967 0.762 Dy
0.168 0.832 0.304 Dy
0.176 0.824 0.945 Dy
0.824 0.176 0.445 Dy
0.832 0.168 0.804 Dy
0.967 0.033 0.262 Dy
0.982 0.018 0.000 Dy
0.151 0.849 0.627 Zn
0.300 0.700 0.624 Zn
0.344 0.656 0.275 Zn
0.350 0.650 0.978 Zn
0.435 0.565 0.684 Zn
0.565 0.435 0.184 Zn
0.650 0.350 0.478 Zn
0.656 0.344 0.775 Zn
0.700 0.300 0.124 Zn
0.849 0.151 0.127 Zn
0.113 0.887 0.119 Si
0.221 0.779 0.488 Si
0.226 0.774 0.763 Si
0.432 0.568 0.130 Si
0.433 0.567 0.404 Si
0.443 0.557 0.855 Si
0.557 0.443 0.355 Si
0.567 0.433 0.904 Si
0.568 0.432 0.630 Si
0.774 0.226 0.263 Si
0.779 0.221 0.988 Si
0.887 0.113 0.619 Si
```

Summary:
crystal system: orthorhombic
ΔE_f (raw): -0.4937 eV per atom

***

# 3
Entry from Alexandria via LeMat-Bulk: a relaxed CaHoErCd crystal (PBE).

```
CaHoErCd
1.0
0.000 3.873 3.873
3.873 0.000 3.873
3.873 3.873 0.000
Ca Ho Er Cd
1 1 1 1
Direct
0.000 0.000 0.000 Ca
0.250 0.250 0.250 Ho
0.750 0.750 0.750 Er
0.500 0.500 0.500 Cd
```

Summary:
crystal system: cubic
formation enthalpy at 0 K: 11 meV per atom

***

# 4
Entry from Alexandria via LeMat-Bulk: a relaxed YRu3C crystal (PBE).

```
YRu3C
1.0
6.898 0.000 0.000
0.000 5.232 0.000
-6.008 0.000 8.394
Y Ru C
4 12 4
Direct
0.186 0.249 0.064 Y
0.186 0.251 0.564 Y
0.814 0.749 0.436 Y
0.814 0.751 0.936 Y
0.084 0.043 0.278 Ru
0.084 0.457 0.778 Ru
0.317 0.717 0.230 Ru
0.317 0.783 0.730 Ru
0.412 0.711 0.527 Ru
0.412 0.789 0.027 Ru
0.588 0.211 0.973 Ru
0.588 0.289 0.473 Ru
0.683 0.217 0.270 Ru
0.683 0.283 0.770 Ru
0.916 0.543 0.222 Ru
0.916 0.957 0.722 Ru
0.251 0.074 0.840 C
0.251 0.426 0.340 C
0.749 0.574 0.660 C
0.749 0.926 0.160 C
```

Summary:
crystal system: monoclinic
formation enthalpy at 0 K: 34 meV per atom

***

E, record by record: -0.0878, -0.1586, -0.1104, -0.3186 Ha/atom
M_tot, record by record: 0.0, 0.0, 0.0, 0.0 μB per formula unit